VASP calculation (SCAN) on a PBEsol-optimized structure of Ba2CrRe.

a b c (Å): 7.645 7.645 7.645
angles (deg): 90.00 90.00 90.00
Fractional coordinates of all 16 atoms:
Ba: 0.250 0.250 0.250
Ba: 0.250 0.250 0.750
Ba: 0.250 0.750 0.250
Ba: 0.250 0.750 0.750
Ba: 0.750 0.250 0.250
Ba: 0.750 0.250 0.750
Ba: 0.750 0.750 0.250
Ba: 0.750 0.750 0.750
Cr: 0.000 0.000 0.000
Cr: 0.000 0.500 0.500
Cr: 0.500 0.000 0.500
Cr: 0.500 0.500 0.000
Re: 0.000 0.000 0.500
Re: 0.000 0.500 0.000
Re: 0.500 0.000 0.000
Re: 0.500 0.500 0.500

The total magnetization is 2.913 μB/f.u. As for the density of states at the Fermi level: 17.0 states/eV per cell. The polymorph energy (0 for the lowest one) is 521 meV/atom. The formation energy is 5.0 eV/f.u. The space group is Fm-3m, No. 225.

VASP calculation (SCAN) on a PBEsol-optimized structure of YAsCl.

a b c (Å): 3.314 3.314 12.796
angles (deg): 90.00 90.00 90.00
Fractional coordinates of all 6 atoms:
Y: 0.000 0.000 0.000
Y: 0.500 0.500 0.500
As: 0.000 0.000 0.644
As: 0.500 0.500 0.144
Cl: 0.000 0.000 0.372
Cl: 0.500 0.500 0.872

The total magnetization is 0.000 μB/f.u. As for the density of states at the Fermi level: 0.7 states/eV per cell. Its formation energy without anion corrections is -1305 meV per atom. The space group is I4mm, No. 107.

What is the formula in the first record?
Ba2CrRe

Which value of total magnetization does entry 2 give?
0.000 μB/f.u.

Which formula does entry 2 have?
YAsCl

Which value of total magnetization does entry 1 give?
2.913 μB/f.u.